No. 1
The following is a DFT calculation (GGA-PBE) of AcPrEr2As4 after structural relaxation.

- magnetization (μB per cell) = 0.00
- uncorrected energy (eV per atom) = -6.045
- N(E_F) (states/eV per cell) = 0.9
- energy of formation from the pure elements (eV/atom) = -1.4690

```
data_AcPrEr2As4
_chemical_formula_sum 'Ac1 Pr1 Er2 As4'
_symmetry_space_group_name_H-M 'P 1 2/m 1'
_symmetry_Int_Tables_number 10
_cell_length_a 7.3701
_cell_length_b 4.2623
_cell_length_c 7.3840
_cell_angle_alpha 90.00
_cell_angle_beta 109.46
_cell_angle_gamma 90.00
loop_
_symmetry_equiv_pos_as_xyz
'x,y,z'
'-x,-y,-z'
'-x,y,-z'
'x,-y,z'
loop_
_atom_site_label
_atom_site_type_symbol
_atom_site_fract_x
_atom_site_fract_y
_atom_site_fract_z
Ac1 Ac 0.0000 0.0000 0.0000
Pr1 Pr 0.0000 0.5000 0.5000
Er1 Er 0.5000 0.0000 0.5000
Er2 Er 0.5000 0.5000 0.0000
As1 As 0.2675 0.0000 0.7507
As2 As 0.2718 0.5000 0.2626
```


No. 2
The following is a DFT calculation (GGA-PBE) of Ac2ErAs3Pt4 after structural relaxation.

- magnetization (μB per cell) = 0.00
- uncorrected energy (eV per atom) = -6.076
- N(E_F) (states/eV per cell) = 3.8
- energy of formation from the pure elements (eV/atom) = -0.9867

```
data_Ac2ErAs3Pt4
_chemical_formula_sum 'Ac2 Er1 As3 Pt4'
_symmetry_space_group_name_H-M 'P -4 m 2'
_symmetry_Int_Tables_number 115
_cell_length_a 4.4226
_cell_length_b 4.4226
_cell_length_c 11.2978
_cell_angle_alpha 90.00
_cell_angle_beta 90.00
_cell_angle_gamma 90.00
loop_
_symmetry_equiv_pos_as_xyz
'x,y,z'
'y,-x,-z'
'-x,-y,z'
'-y,x,-z'
'-x,y,z'
'-y,-x,-z'
'x,-y,z'
'y,x,-z'
loop_
_atom_site_label
_atom_site_type_symbol
_atom_site_fract_x
_atom_site_fract_y
_atom_site_fract_z
Ac1 Ac 0.0000 0.5000 0.2228
Er1 Er 0.0000 0.0000 0.5000
As1 As 0.0000 0.5000 0.8761
As2 As 0.5000 0.5000 0.5000
Pt1 Pt 0.0000 0.0000 0.0000
Pt2 Pt 0.0000 0.5000 0.6521
Pt3 Pt 0.5000 0.5000 0.0000
```